# 1
# In2Cu (PBE, optimized geometry)
# - formation energy from the elements (eV per atom) = 0.1638
# - space group = P-3m1, No. 164
# - M_tot (μB/atom) = 0.000
# - DFT total energy (eV/atom) = -3.03
data_In2Cu
_cell_length_a 4.413
_cell_length_b 4.413
_cell_length_c 3.957
_cell_angle_alpha 90.00
_cell_angle_beta 90.00
_cell_angle_gamma 120.00
_space_group_name_H-M_alt 'P 1'
_space_group_IT_number 1
loop_
_space_group_symop_operation_xyz
'x,y,z'
loop_
_atom_site_label
_atom_site_fract_x
_atom_site_fract_y
_atom_site_fract_z
_atom_site_occupancy
Cu1 0.000 0.000 0.000 1
In1 0.667 0.333 0.739 1
In2 0.333 0.667 0.261 1

=====

# 2
# InCu2 (PBE, optimized geometry)
# - formation energy from the elements (eV per atom) = 0.1050
# - space group = P6_3/mmc, No. 194
# - M_tot (μB/atom) = 0.000
# - DFT total energy (eV/atom) = -3.54
data_InCu2
_cell_length_a 4.489
_cell_length_b 4.489
_cell_length_c 5.333
_cell_angle_alpha 90.00
_cell_angle_beta 90.00
_cell_angle_gamma 120.00
_space_group_name_H-M_alt 'P 1'
_space_group_IT_number 1
loop_
_space_group_symop_operation_xyz
'x,y,z'
loop_
_atom_site_label
_atom_site_fract_x
_atom_site_fract_y
_atom_site_fract_z
_atom_site_occupancy
In1 0.667 0.333 0.250 1
In2 0.333 0.667 0.750 1
Cu1 0.000 0.000 0.000 1
Cu2 0.000 0.000 0.500 1
Cu3 0.333 0.667 0.250 1
Cu4 0.667 0.333 0.750 1

=====

# 3
# In3Cu (PBE, optimized geometry)
# - formation energy from the elements (eV per atom) = 0.1497
# - space group = Pmm2, No. 25
# - M_tot (μB/atom) = 0.000
# - DFT total energy (eV/atom) = -2.93
data_In3Cu
_cell_length_a 3.289
_cell_length_b 4.352
_cell_length_c 6.862
_cell_angle_alpha 90.00
_cell_angle_beta 90.00
_cell_angle_gamma 90.00
_space_group_name_H-M_alt 'P 1'
_space_group_IT_number 1
loop_
_space_group_symop_operation_xyz
'x,y,z'
loop_
_atom_site_label
_atom_site_fract_x
_atom_site_fract_y
_atom_site_fract_z
_atom_site_occupancy
Cu1 0.000 0.000 0.896 1
In1 0.500 0.000 0.558 1
In2 0.500 0.500 0.909 1
In3 0.000 0.500 0.304 1

=====

# 4
# In2Cu (PBE, optimized geometry)
# - formation energy from the elements (eV per atom) = 0.5109
# - space group = P6_3/mmc, No. 194
# - M_tot (μB/atom) = 0.000
# - DFT total energy (eV/atom) = -2.68
data_In2Cu
_cell_length_a 6.122
_cell_length_b 6.122
_cell_length_c 9.850
_cell_angle_alpha 90.00
_cell_angle_beta 90.00
_cell_angle_gamma 120.00
_space_group_name_H-M_alt 'P 1'
_space_group_IT_number 1
loop_
_space_group_symop_operation_xyz
'x,y,z'
loop_
_atom_site_label
_atom_site_fract_x
_atom_site_fract_y
_atom_site_fract_z
_atom_site_occupancy
Cu1 0.333 0.667 0.968 1
Cu2 0.667 0.333 0.468 1
Cu3 0.667 0.333 0.032 1
Cu4 0.333 0.667 0.532 1
In1 0.000 0.000 0.000 1
In2 0.000 0.000 0.500 1
In3 0.831 0.661 0.250 1
In4 0.169 0.339 0.750 1
In5 0.339 0.169 0.250 1
In6 0.831 0.169 0.250 1
In7 0.169 0.831 0.750 1
In8 0.661 0.831 0.750 1

=====

Q: Number 2 is which compound?
A: InCu2

=====

Q: Which value of formation energy from the elements does entry 4 give?
A: 0.5109 eV per atom